(1)
Entry from the Alexandria database: LiAc2Al after structural relaxation (PBE).

```
12
Lattice="3.8654 0.0000 0.0000 -1.9327 3.3476 0.0000 0.0000 0.0000 35.7440" Properties=species:S:1:pos:R:3 pbc="T T T"
Li 0.0000 0.0000 0.0000
Li 0.0000 2.2317 23.8294
Li 1.9327 1.1159 11.9147
Ac 0.0000 0.0000 3.5938
Ac 0.0000 0.0000 32.1502
Ac 0.0000 2.2317 20.2355
Ac 0.0000 2.2317 27.4231
Ac 1.9327 1.1159 8.3209
Ac 1.9327 1.1159 15.5085
Al 0.0000 0.0000 17.8720
Al 0.0000 2.2317 5.9573
Al 1.9327 1.1159 29.7867
```

***

(2)
9
Lattice="4.5827 0.0000 0.0000 0.0000 4.5827 0.0000 0.0000 0.0000 9.5172" Properties=species:S:1:pos:R:3 comment="Li6AcAl2, relaxed, DFT PBE" de_polymorph_ev_per_fu=0.00 pbc="T T T"
Li 0.0000 0.0000 0.0000
Li 0.0000 2.2913 1.8587
Li 0.0000 2.2913 7.6585
Li 2.2913 0.0000 1.8587
Li 2.2913 0.0000 7.6585
Li 2.2913 2.2913 0.0000
Ac 0.0000 0.0000 4.7586
Al 2.2913 2.2913 3.4505
Al 2.2913 2.2913 6.0667

***

(3)
Entry from the Alexandria database: Li7AcAl5 after structural relaxation (PBE).

```
13
Lattice="-2.7497 4.7193 4.7847 2.7497 -4.7193 4.7847 2.7497 4.7193 -4.7847" Properties=species:S:1:pos:R:3 pbc="T T T"
Li 0.0000 0.0000 0.0000
Li 2.7497 -1.3806 1.4627
Li 0.0000 0.0000 2.8340
Li 2.7497 1.3806 1.4627
Li 0.0000 2.6846 1.3983
Li 0.0000 6.7540 1.3983
Li 0.0000 4.7193 3.5819
Ac 0.0000 0.0000 6.2140
Al 1.3882 2.3755 -0.9800
Al 4.1111 2.3755 -0.9800
Al 2.7497 0.0000 4.1613
Al -1.3614 2.3438 3.8047
Al 1.3614 2.3438 3.8047
```

***

(4)
Entry from the Alexandria database: LiAc2Al after structural relaxation (PBE).

```
4
Lattice="3.9829 0.0000 0.0000 0.0000 3.9829 0.0000 0.0000 0.0000 8.1069" Properties=species:S:1:pos:R:3 pbc="T T T"
Li 0.0000 0.0000 0.0000
Ac 1.9914 1.9914 2.1501
Ac 1.9914 1.9914 5.9568
Al 0.0000 0.0000 4.0534
```

***

(5)
Entry from the Alexandria database: Li2Ac2Al after structural relaxation (PBE).

```
10
Lattice="5.5174 -3.6007 0.0000 5.5174 3.6007 0.0000 -2.8809 0.0000 7.3289" Properties=species:S:1:pos:R:3 pbc="T T T"
Li 3.2017 2.7192 4.0877
Li 3.5117 2.7192 6.9056
Li 4.6422 -2.7192 0.4233
Li 4.9522 -2.7192 3.2412
Ac 1.0231 0.5047 6.2869
Ac 2.4636 -0.5047 2.6224
Ac 5.6904 0.5047 4.7065
Ac 7.1308 -0.5047 1.0420
Al 4.7972 2.0196 1.8322
Al 3.3567 -2.0196 5.4967
```

***

(6)
20
Lattice="8.6992 0.0000 0.0000 0.0000 4.4260 0.0000 0.0000 0.0000 11.5283" Properties=species:S:1:pos:R:3 comment="LiAcAl3, relaxed, DFT PBE" de_polymorph_ev_per_fu=0.00 pbc="T T T"
Li 0.7554 1.1065 1.3965
Li 3.5942 3.3195 7.1606
Li 5.1050 1.1065 4.3677
Li 7.9439 3.3195 10.1318
Ac 1.6162 1.1065 5.7708
Ac 2.7334 3.3195 0.0067
Ac 5.9658 1.1065 11.5216
Ac 7.0830 3.3195 5.7575
Al 0.7568 1.1065 10.1124
Al 1.1098 3.3195 3.2524
Al 1.1114 3.3195 8.3255
Al 3.2382 1.1065 2.5614
Al 3.2398 1.1065 9.0165
Al 3.5929 3.3195 4.3482
Al 5.1064 1.1065 7.1801
Al 5.4595 3.3195 2.5118
Al 5.4610 3.3195 8.9669
Al 7.5878 1.1065 3.2028
Al 7.5894 1.1065 8.2759
Al 7.9425 3.3195 1.4159

***

(7)
Entry from the Alexandria database: LiAcMgAl after structural relaxation (PBE).

```
16
Lattice="7.4155 0.0000 0.0000 0.0000 7.4155 0.0000 0.0000 0.0000 7.4155" Properties=species:S:1:pos:R:3 pbc="T T T"
Li 0.0000 0.0000 0.0000
Li 0.0000 3.7077 3.7077
Li 3.7077 0.0000 3.7077
Li 3.7077 3.7077 0.0000
Ac 1.8539 1.8539 1.8539
Ac 1.8539 5.5616 5.5616
Ac 5.5616 1.8539 5.5616
Ac 5.5616 5.5616 1.8539
Mg 1.8539 1.8539 5.5616
Mg 1.8539 5.5616 1.8539
Mg 5.5616 1.8539 1.8539
Mg 5.5616 5.5616 5.5616
Al 0.0000 0.0000 3.7077
Al 0.0000 3.7077 0.0000
Al 3.7077 0.0000 0.0000
Al 3.7077 3.7077 3.7077
```

***

(8)
Entry from the Alexandria database: Li3Ac2Mg12Al after structural relaxation (PBE).

```
18
Lattice="3.2199 1.8590 13.7892 -3.2199 1.8590 13.7892 0.0000 -3.7180 13.7892" Properties=species:S:1:pos:R:3 pbc="T T T"
Li -1.6099 -0.9295 13.7892
Li -1.6099 0.9295 27.5784
Li 0.0000 1.8590 13.7892
Ac 0.0000 0.0000 6.0011
Ac 0.0000 0.0000 35.3666
Mg 0.0000 -1.9501 11.4943
Mg -1.6889 0.9751 11.4943
Mg -1.5953 -0.9211 18.4223
Mg -1.6889 -0.9751 29.8733
Mg 0.0000 -1.8421 22.9453
Mg -1.5953 0.9211 22.9453
Mg 1.5953 -0.9211 18.4223
Mg 0.0000 1.8421 18.4223
Mg 1.6889 0.9751 11.4943
Mg 1.5953 0.9211 22.9453
Mg 1.6889 -0.9751 29.8733
Mg 0.0000 1.9501 29.8733
Al 0.0000 0.0000 20.6838
```

***

(9)
16
Lattice="7.7444 0.0000 0.0000 0.0000 7.7444 0.0000 0.0000 0.0000 7.7444" Properties=species:S:1:pos:R:3 comment="LiAcNdAl, relaxed, DFT PBE" de_polymorph_ev_per_fu=0.00 pbc="T T T"
Li 0.0000 0.0000 0.0000
Li 0.0000 3.8722 3.8722
Li 3.8722 0.0000 3.8722
Li 3.8722 3.8722 0.0000
Ac 1.9361 1.9361 5.8083
Ac 1.9361 5.8083 1.9361
Ac 5.8083 1.9361 1.9361
Ac 5.8083 5.8083 5.8083
Nd 1.9361 1.9361 1.9361
Nd 1.9361 5.8083 5.8083
Nd 5.8083 1.9361 5.8083
Nd 5.8083 5.8083 1.9361
Al 0.0000 0.0000 3.8722
Al 0.0000 3.8722 0.0000
Al 3.8722 0.0000 0.0000
Al 3.8722 3.8722 3.8722

***

(10)
4
Lattice="3.8529 0.0000 0.0000 0.0000 3.8529 0.0000 0.0000 0.0000 7.9235" Properties=species:S:1:pos:R:3 comment="LiAcNdAl, relaxed, DFT PBE" de_polymorph_ev_per_fu=0.04 pbc="T T T"
Li 0.0000 0.0000 0.0000
Ac 1.9265 1.9265 5.6433
Nd 1.9265 1.9265 1.9114
Al 0.0000 0.0000 3.6123

***

(11)
14
Lattice="5.5012 0.0000 0.0000 -2.7506 4.7641 0.0000 0.0000 0.0000 7.1021" Properties=species:S:1:pos:R:3 comment="Li2Ac3AlO8, relaxed, DFT PBE" raw_formation_energy_ev_per_atom=-2.59 pbc="T T T"
Li 0.0000 3.1761 1.4626
Li 2.7506 1.5880 5.6395
Ac 0.0000 0.0000 0.0000
Ac 0.0000 3.1761 4.5222
Ac 2.7506 1.5880 2.5799
Al 0.0000 0.0000 3.5511
O 0.0000 1.5050 2.3797
O -1.4472 4.0116 2.3797
O 1.3034 0.7525 4.7224
O 0.0000 3.1761 6.7580
O 2.7506 1.5880 0.3441
O 1.4472 4.0116 2.3797
O 4.1978 0.7525 4.7224
O 2.7506 3.2591 4.7224

***

(12)
16
Lattice="5.3273 0.0000 0.0000 0.0000 5.3273 0.0000 0.0000 0.0000 6.8706" Properties=species:S:1:pos:R:3 comment="Li2AcAlO4, relaxed, DFT PBE" raw_formation_energy_ev_per_atom=-2.74 pbc="T T T"
Li 0.0000 2.6637 1.7177
Li 0.0000 2.6637 5.1530
Li 2.6637 0.0000 1.7177
Li 2.6637 0.0000 5.1530
Ac 0.0000 0.0000 0.0000
Ac 2.6637 2.6637 3.4353
Al 0.0000 0.0000 3.4353
Al 2.6637 2.6637 0.0000
O 1.0366 1.0366 2.4026
O 1.0366 4.2907 4.4681
O 1.6271 1.6271 5.8379
O 1.6271 3.7002 1.0327
O 3.7002 1.6271 1.0327
O 3.7002 3.7002 5.8379
O 4.2907 1.0366 4.4681
O 4.2907 4.2907 2.4026

***

(13)
18
Lattice="7.0938 0.0000 0.0000 0.0000 7.0938 0.0000 0.0000 0.0000 5.7908" Properties=species:S:1:pos:R:3 comment="LiAc2AlO5, relaxed, DFT PBE" raw_formation_energy_ev_per_atom=-2.67 pbc="T T T"
Li 0.0000 0.0000 0.0000
Li 3.5469 3.5469 0.0000
Ac 1.2956 2.2513 2.8954
Ac 2.2513 5.7982 2.8954
Ac 4.8426 1.2956 2.8954
Ac 5.7982 4.8426 2.8954
Al 0.0000 3.5469 0.0000
Al 3.5469 0.0000 0.0000
O 0.0000 0.0000 2.8954
O 0.9004 4.4473 1.3137
O 0.9004 4.4473 4.4771
O 2.6465 0.9004 1.3137
O 2.6465 0.9004 4.4771
O 3.5469 3.5469 2.8954
O 4.4473 6.1934 1.3137
O 4.4473 6.1934 4.4771
O 6.1934 2.6465 1.3137
O 6.1934 2.6465 4.4771

***

(14)
14
Lattice="5.6030 0.0000 0.0000 -2.8015 4.8523 0.0000 0.0000 0.0000 7.1404" Properties=species:S:1:pos:R:3 comment="LiAc3Al2O8, relaxed, DFT PBE" raw_formation_energy_ev_per_atom=-3.05 pbc="T T T"
Li 0.0000 0.0000 0.0000
Ac 0.0000 0.0000 3.5702
Ac 0.0000 3.2349 1.0025
Ac 2.8015 1.6174 6.1379
Al 0.0000 3.2349 5.0209
Al 2.8015 1.6174 2.1195
O 0.0000 1.6306 5.7554
O -1.3894 4.0370 5.7554
O 0.0000 3.2349 3.2916
O 1.4121 0.8153 1.3850
O 1.3894 4.0370 5.7554
O 2.8015 1.6174 3.8488
O 4.1908 0.8153 1.3850
O 2.8015 3.2217 1.3850

***

(15)
Entry from the Alexandria database: Li4Ac2AlPb3 after structural relaxation (PBE).

```
10
Lattice="4.7174 0.0000 0.0000 0.0000 4.7174 0.0000 0.0000 0.0000 11.2996" Properties=species:S:1:pos:R:3 pbc="T T T"
Li 0.0000 0.0000 0.0000
Li 0.0000 2.3587 4.1954
Li 2.3587 0.0000 7.1042
Li 2.3587 2.3587 0.0000
Ac 0.0000 2.3587 8.5004
Ac 2.3587 0.0000 2.7991
Al 2.3587 2.3587 5.6498
Pb 0.0000 0.0000 5.6498
Pb 0.0000 2.3587 1.4773
Pb 2.3587 0.0000 9.8223
```

***

(16)
Entry from the Alexandria database: LiAcAlPb after structural relaxation (PBE).

```
16
Lattice="7.6851 0.0000 0.0000 0.0000 7.6851 0.0000 0.0000 0.0000 7.6851" Properties=species:S:1:pos:R:3 pbc="T T T"
Li 0.0000 0.0000 0.0000
Li 0.0000 3.8425 3.8425
Li 3.8425 0.0000 3.8425
Li 3.8425 3.8425 0.0000
Ac 0.0000 0.0000 3.8425
Ac 0.0000 3.8425 0.0000
Ac 3.8425 0.0000 0.0000
Ac 3.8425 3.8425 3.8425
Al 1.9213 1.9213 5.7638
Al 1.9213 5.7638 1.9213
Al 5.7638 1.9213 1.9213
Al 5.7638 5.7638 5.7638
Pb 1.9213 1.9213 1.9213
Pb 1.9213 5.7638 5.7638
Pb 5.7638 1.9213 5.7638
Pb 5.7638 5.7638 1.9213
```

***

(17)
Entry from the Alexandria database: Li3Ac2AlPb4 after structural relaxation (PBE).

```
10
Lattice="4.7482 0.0000 0.0000 0.0000 4.7482 0.0000 0.0000 0.0000 11.6024" Properties=species:S:1:pos:R:3 pbc="T T T"
Li 0.0000 0.0000 0.0000
Li 0.0000 2.3741 7.2877
Li 2.3741 0.0000 4.3147
Ac 0.0000 2.3741 2.9308
Ac 2.3741 0.0000 8.6716
Al 2.3741 2.3741 0.0000
Pb 0.0000 0.0000 5.8012
Pb 0.0000 2.3741 9.9585
Pb 2.3741 0.0000 1.6439
Pb 2.3741 2.3741 5.8012
```

***

(18)
Entry from the Alexandria database: LiAc3Al2Pd9 after structural relaxation (PBE).

```
15
Lattice="7.0194 0.0000 0.0000 -3.5097 6.0790 0.0000 0.0000 0.0000 7.3065" Properties=species:S:1:pos:R:3 pbc="T T T"
Li 0.0000 0.0000 0.0000
Ac 0.0000 0.0000 3.6532
Ac 0.0000 4.0527 1.1989
Ac 3.5097 2.0263 6.1075
Al 0.0000 4.0527 4.9990
Al 3.5097 2.0263 2.3075
Pd -1.7549 3.0395 3.6532
Pd 0.0000 1.9252 6.0853
Pd -1.8425 5.1164 6.0853
Pd 1.6673 0.9626 1.2212
Pd 3.5097 0.0000 3.6532
Pd 1.7549 3.0395 3.6532
Pd 1.8425 5.1164 6.0853
Pd 5.3522 0.9626 1.2212
Pd 3.5097 4.1538 1.2212
```

***

(19)
16
Lattice="7.0484 0.0000 0.0000 0.0000 7.0484 0.0000 0.0000 0.0000 7.0484" Properties=species:S:1:pos:R:3 comment="LiAcAlPd, relaxed, DFT PBE" de_polymorph_ev_per_fu=0.48 pbc="T T T"
Li 0.0000 0.0000 0.0000
Li 0.0000 3.5242 3.5242
Li 3.5242 0.0000 3.5242
Li 3.5242 3.5242 0.0000
Ac 1.7621 1.7621 1.7621
Ac 1.7621 5.2863 5.2863
Ac 5.2863 1.7621 5.2863
Ac 5.2863 5.2863 1.7621
Al 1.7621 1.7621 5.2863
Al 1.7621 5.2863 1.7621
Al 5.2863 1.7621 1.7621
Al 5.2863 5.2863 5.2863
Pd 0.0000 0.0000 3.5242
Pd 0.0000 3.5242 0.0000
Pd 3.5242 0.0000 0.0000
Pd 3.5242 3.5242 3.5242

***

(20)
Entry from the Alexandria database: Li2AcAlPd4 after structural relaxation (PBE).

```
8
Lattice="2.1543 1.2438 8.8085 -2.1543 1.2438 8.8085 0.0000 -2.4875 8.8085" Properties=species:S:1:pos:R:3 pbc="T T T"
Li 0.0000 0.0000 6.1613
Li 0.0000 0.0000 20.2643
Ac 0.0000 0.0000 0.0000
Al 0.0000 0.0000 13.2128
Pd 0.0000 0.0000 3.5346
Pd 0.0000 0.0000 10.6770
Pd 0.0000 0.0000 15.7487
Pd 0.0000 0.0000 22.8910
```

***

The final energy results, record by record, are as follows: -3.2883 -2.6418 -2.9650 -3.5770 -3.2394 -3.6859 -2.9732 -1.9352 -3.7715 -3.7605 -6.8397 -6.6790 -6.9681 -7.4354 -3.4485 -3.5430 -3.6717 -5.1909 -4.1063 -4.7446 eV per atom.